Record 1
Here is CsLa after structural relaxation from Alexandria via LeMat-Bulk. Energies are from PBE.

Values from the calculation:
Energy of formation from the pure elements = 394 meV per atom

Cell lengths 3.8904, 16.3743, 11.9785 Å; angles 90.00, 90.00, 90.00 degrees
With the nearest neighbours (Å) after each atom.
Sites, in units of the cell vectors:
Cs  0.2500  0.0837  0.1873  2 Cs 3.89, 2 La 4.30-4.31
Cs  0.2500  0.4163  0.1873  2 Cs 3.89, 2 La 4.30-4.31
Cs  0.2500  0.7500  0.1858  2 Cs 3.89, 2 La 4.31
Cs  0.7500  0.2500  0.8142  2 Cs 3.89, 2 La 4.31
Cs  0.7500  0.5837  0.8127  2 Cs 3.89, 2 La 4.30-4.31
Cs  0.7500  0.9163  0.8127  2 Cs 3.89, 2 La 4.30-4.31
La  0.2500  0.2500  0.4665  4 La 3.46
La  0.2500  0.5831  0.4644  4 La 3.45-3.46
La  0.2500  0.9169  0.4644  4 La 3.45-3.46
La  0.7500  0.0831  0.5356  4 La 3.45-3.46
La  0.7500  0.4169  0.5356  4 La 3.45-3.46
La  0.7500  0.7500  0.5335  4 La 3.46

Record 2
Here is BaSiO3 after structural relaxation from Alexandria via LeMat-Bulk. Energies are from PBE.

Values from the calculation:
Formation energy without anion corrections = -12.1 eV/f.u.

Cell lengths 3.8374, 3.8374, 3.8374 Å; angles 90.00, 90.00, 90.00 degrees
With the nearest neighbours (Å) after each atom.
Sites, in units of the cell vectors:
Ba  0.0000  0.0000  0.0000  12 O 2.71
Si  0.5000  0.5000  0.5000  6 O 1.92
O  0.0000  0.5000  0.5000  2 Si 1.92
O  0.5000  0.0000  0.5000  2 Si 1.92
O  0.5000  0.5000  0.0000  2 Si 1.92

Record 3
Here is Pm2Zn6Rh after structural relaxation from Alexandria via LeMat-Bulk. Energies are from PBE.

Values from the calculation:
Energy of formation from the pure elements = -388 meV per atom

Cell lengths 5.8206, 5.8206, 5.7302 Å; angles 90.00, 90.00, 120.00 degrees
With the nearest neighbours (Å) after each atom.
Sites, in units of the cell vectors:
Pm  0.3333  0.6667  0.3403  12 Zn 3.07-3.33
Pm  0.6667  0.3333  0.6597  12 Zn 3.07-3.33
Zn  0.1756  0.3512  0.8302  1 Rh 2.59, 4 Zn 2.63-2.75
Zn  0.1756  0.8244  0.8302  1 Rh 2.59, 4 Zn 2.63-2.75
Zn  0.3512  0.1756  0.1698  1 Rh 2.59, 4 Zn 2.63-2.75
Zn  0.6488  0.8244  0.8302  1 Rh 2.59, 4 Zn 2.63-2.75
Zn  0.8244  0.1756  0.1698  1 Rh 2.59, 4 Zn 2.63-2.75
Zn  0.8244  0.6488  0.1698  1 Rh 2.59, 4 Zn 2.63-2.75
Rh  0.0000  0.0000  0.5000  6 Zn 2.59